{
  "formula": "TlHg2B",
  "functional": "PBE",
  "state": "optimized geometry",
  "final_energy_ev_per_atom": -1.36,
  "polymorph_energy_ev_per_atom": 0.473,
  "density_g_cm3": 10.957,
  "formation_energy_ev_per_atom": 1.050,
  "spacegroup": "No. 225",
  "cell": [[0.000, 3.601, 3.601], [3.601, 0.000, 3.601], [3.601, 3.601, 0.000]],
  "species": ["Hg", "Hg", "Tl", "B"],
  "fractional_positions": [[0.750, 0.750, 0.750], [0.250, 0.250, 0.250], [0.500, 0.500, 0.500], [0.000, 0.000, 0.000]]
}



{
  "formula": "Hf3ReAg",
  "functional": "PBE",
  "state": "optimized geometry",
  "final_energy_ev_per_atom": -8.36,
  "polymorph_energy_ev_per_atom": 0.000,
  "density_g_cm3": 10.808,
  "formation_energy_ev_per_atom": 0.668,
  "spacegroup": "No. 221",
  "cell": [[5.033, 0.000, 0.000], [0.000, 5.033, 0.000], [0.000, 0.000, 5.033]],
  "species": ["Hf", "Hf", "Ag", "Hf", "Re"],
  "fractional_positions": [[0.000, 0.000, 0.500], [0.500, 0.000, 0.000], [0.500, 0.500, 0.500], [0.000, 0.500, 0.000], [0.000, 0.000, 0.000]]
}



{
  "formula": "Tb6Tm5",
  "functional": "PBE",
  "state": "optimized geometry",
  "final_energy_ev_per_atom": -4.43,
  "polymorph_energy_ev_per_atom": 0.014,
  "density_g_cm3": 8.556,
  "formation_energy_ev_per_atom": 0.130,
  "spacegroup": "No. 12",
  "cell": [[9.995, 0.000, -0.324], [4.997, 6.543, -0.162], [2.764, 0.000, 5.247]],
  "species": ["Tb", "Tm", "Tb", "Tb", "Tm", "Tb", "Tm", "Tb", "Tm", "Tb", "Tm"],
  "fractional_positions": [[0.815, 0.000, 0.600], [0.232, 0.537, 0.500], [0.048, 0.277, 0.888], [0.675, 0.277, 0.112], [0.369, 0.261, 0.000], [0.185, 0.000, 0.400], [0.768, 0.463, 0.500], [0.325, 0.723, 0.888], [0.631, 0.739, 0.000], [0.952, 0.723, 0.112], [0.500, 0.000, 0.500]]
}



{
  "formula": "ScAg2Pt2",
  "functional": "PBE",
  "state": "optimized geometry",
  "final_energy_ev_per_atom": -5.18,
  "polymorph_energy_ev_per_atom": 0.000,
  "density_g_cm3": 11.542,
  "formation_energy_ev_per_atom": -0.360,
  "spacegroup": "No. 127",
  "cell": [[6.803, 0.000, 0.000], [0.000, 6.803, 0.000], [0.000, 0.000, 4.047]],
  "species": ["Ag", "Pt", "Ag", "Pt", "Pt", "Ag", "Sc", "Ag", "Pt", "Sc"],
  "fractional_positions": [[0.337, 0.163, 0.500], [0.137, 0.363, 0.000], [0.837, 0.337, 0.500], [0.637, 0.137, 0.000], [0.863, 0.637, 0.000], [0.163, 0.663, 0.500], [0.500, 0.500, 0.000], [0.663, 0.837, 0.500], [0.363, 0.863, 0.000], [0.000, 0.000, 0.000]]
}



{
  "formula": "Zn2InFe",
  "functional": "PBE",
  "state": "optimized geometry",
  "final_energy_ev_per_atom": -3.26,
  "density_g_cm3": 8.145,
  "formation_energy_ev_per_atom": 0.177,
  "spacegroup": "No. 139",
  "cell": [[5.030, 0.001, 0.000], [2.154, 4.545, 0.000], [-3.592, -2.273, 2.689]],
  "species": ["Fe", "Zn", "Zn", "In"],
  "fractional_positions": [[0.250, 0.750, 0.500], [0.500, 0.500, 0.000], [0.000, 0.000, 0.000], [0.750, 0.250, 0.500]]
}



{
  "formula": "GaPdN2O",
  "functional": "PBE",
  "state": "optimized geometry",
  "final_energy_ev_per_atom": -4.83,
  "density_g_cm3": 6.340,
  "spacegroup": "No. 123",
  "cell": [[-0.807, 0.453, -3.798], [-1.229, -3.706, -0.181], [-3.497, 1.117, 0.876]],
  "species": ["N", "N", "O", "Ga", "Pd"],
  "fractional_positions": [[0.000, 0.500, 0.000], [0.500, 0.000, 0.000], [0.000, 0.000, 0.500], [0.000, 0.000, 0.000], [0.500, 0.500, 0.500]]
}



{
  "formula": "HoScZnGa",
  "functional": "PBE",
  "state": "optimized geometry",
  "final_energy_ev_per_atom": -4.29,
  "density_g_cm3": 6.963,
  "formation_energy_ev_per_atom": -0.485,
  "spacegroup": "No. 216",
  "cell": [[4.882, 0.000, 0.000], [2.441, 4.228, 0.000], [2.441, 1.409, 3.986]],
  "species": ["Sc", "Ho", "Zn", "Ga"],
  "fractional_positions": [[0.500, 0.500, 0.500], [0.000, 0.000, 0.000], [0.750, 0.750, 0.750], [0.250, 0.250, 0.250]]
}



{
  "formula": "VNiAsCl2",
  "functional": "PBE",
  "state": "optimized geometry",
  "final_energy_ev_per_atom": -4.08,
  "density_g_cm3": 4.269,
  "spacegroup": "No. 123",
  "cell": [[-0.821, 3.512, 2.279], [-4.405, -2.416, 2.135], [2.382, -1.518, 3.197]],
  "species": ["As", "Cl", "Cl", "V", "Ni"],
  "fractional_positions": [[0.500, 0.500, 0.500], [0.000, 0.000, 0.500], [0.500, 0.000, 0.000], [0.000, 0.500, 0.000], [0.000, 0.000, 0.000]]
}



{
  "formula": "Rb2Hf3AgS8",
  "functional": "PBE",
  "state": "optimized geometry",
  "final_energy_ev_per_atom": -6.13,
  "density_g_cm3": 4.444,
  "spacegroup": "No. 160",
  "cell": [[7.462, 0.000, 0.000], [3.731, 6.463, 0.000], [3.731, 2.154, 8.296]],
  "species": ["S", "S", "S", "S", "Hf", "S", "S", "Hf", "S", "Hf", "Rb", "Ag", "S", "Rb"],
  "fractional_positions": [[0.697, 0.221, 0.861], [0.281, 0.755, 0.208], [0.221, 0.697, 0.861], [0.755, 0.755, 0.208], [0.491, 0.985, 0.033], [0.715, 0.715, 0.856], [0.266, 0.266, 0.201], [0.985, 0.491, 0.033], [0.755, 0.281, 0.208], [0.491, 0.491, 0.033], [0.489, 0.489, 0.534], [0.986, 0.986, 0.042], [0.221, 0.221, 0.861], [0.139, 0.139, 0.583]]
}



{
  "formula": "CaThPb2",
  "functional": "PBE",
  "state": "optimized geometry",
  "final_energy_ev_per_atom": -4.55,
  "polymorph_energy_ev_per_atom": 0.061,
  "density_g_cm3": 9.393,
  "formation_energy_ev_per_atom": -0.338,
  "spacegroup": "No. 123",
  "cell": [[4.419, 0.000, 0.000], [0.000, 5.240, 0.000], [0.000, 0.000, 5.240]],
  "species": ["Th", "Pb", "Pb", "Ca"],
  "fractional_positions": [[0.500, 0.500, 0.500], [0.000, 0.000, 0.500], [0.000, 0.500, 0.000], [0.500, 0.000, 0.000]]
}



{
  "formula": "LiCa4Nd3S8",
  "functional": "PBE",
  "state": "optimized geometry",
  "final_energy_ev_per_atom": -5.59,
  "density_g_cm3": 3.833,
  "spacegroup": "No. 166",
  "cell": [[-0.264, 7.904, 1.476], [-7.811, 0.130, -2.091], [2.532, -5.075, 5.707]],
  "species": ["S", "S", "Li", "Ca", "Nd", "S", "S", "S", "S", "Nd", "S", "Ca", "Nd", "Ca", "Ca", "S"],
  "fractional_positions": [[0.753, 0.750, 0.002], [0.751, 0.249, 0.502], [0.000, 0.500, 0.000], [0.500, 0.000, 0.500], [0.500, 0.500, 0.000], [0.751, 0.250, 0.998], [0.249, 0.750, 0.002], [0.248, 0.245, 0.496], [0.752, 0.755, 0.504], [0.500, 0.500, 0.500], [0.249, 0.751, 0.498], [0.500, 0.000, 0.000], [0.000, 0.500, 0.500], [0.000, 0.000, 0.500], [0.000, 0.000, 0.000], [0.247, 0.250, 0.998]]
}



{
  "formula": "NaLi2TeO4",
  "functional": "PBE",
  "state": "optimized geometry",
  "final_energy_ev_per_atom": -4.92,
  "density_g_cm3": 4.168,
  "spacegroup": "No. 15",
  "cell": [[-1.647, 5.566, 2.496], [-5.821, -2.050, 1.356], [5.103, -3.127, 2.207]],
  "species": ["Na", "Li", "O", "O", "Te", "Li", "Li", "Li", "Na", "O", "Te", "O", "O", "O", "O", "O"],
  "fractional_positions": [[0.000, 0.500, 0.500], [0.500, 0.500, 0.000], [0.743, 0.758, 0.524], [0.257, 0.242, 0.476], [0.000, 0.000, 0.000], [0.500, 0.000, 0.000], [0.500, 0.000, 0.500], [0.000, 0.000, 0.500], [0.000, 0.500, 0.000], [0.761, 0.217, 0.989], [0.500, 0.500, 0.500], [0.283, 0.739, 0.511], [0.239, 0.783, 0.011], [0.717, 0.261, 0.489], [0.742, 0.757, 0.976], [0.258, 0.243, 0.024]]
}



{
  "formula": "Tl2SnS3",
  "functional": "PBE",
  "state": "optimized geometry",
  "final_energy_ev_per_atom": -3.90,
  "polymorph_energy_ev_per_atom": 0.009,
  "density_g_cm3": 5.947,
  "spacegroup": "No. 15",
  "cell": [[-3.372, -6.207, 0.124], [1.783, -2.249, -6.745], [5.901, -4.349, 0.088]],
  "species": ["Sn", "S", "S", "Sn", "Tl", "S", "S", "S", "Tl", "Tl", "S", "Tl"],
  "fractional_positions": [[0.250, 0.080, 0.920], [0.750, 0.626, 0.374], [0.987, 0.925, 0.802], [0.750, 0.920, 0.080], [0.346, 0.795, 0.520], [0.250, 0.374, 0.626], [0.513, 0.198, 0.075], [0.487, 0.802, 0.925], [0.846, 0.520, 0.795], [0.654, 0.205, 0.480], [0.013, 0.075, 0.198], [0.154, 0.480, 0.205]]
}



{
  "formula": "TbTiSnHg",
  "functional": "PBE",
  "state": "optimized geometry",
  "final_energy_ev_per_atom": -4.47,
  "density_g_cm3": 9.440,
  "formation_energy_ev_per_atom": -0.263,
  "spacegroup": "No. 216",
  "cell": [[5.077, 0.000, 0.000], [2.539, 4.397, 0.000], [2.539, 1.466, 4.145]],
  "species": ["Hg", "Ti", "Sn", "Tb"],
  "fractional_positions": [[0.750, 0.750, 0.750], [0.500, 0.500, 0.500], [0.250, 0.250, 0.250], [0.000, 0.000, 0.000]]
}



{
  "formula": "KP2Pd2",
  "functional": "PBE",
  "state": "optimized geometry",
  "final_energy_ev_per_atom": -4.58,
  "density_g_cm3": 5.639,
  "formation_energy_ev_per_atom": -0.118,
  "spacegroup": "No. 127",
  "cell": [[7.983, 0.000, 0.000], [0.000, 7.983, 0.000], [0.000, 0.000, 2.901]],
  "species": ["K", "Pd", "Pd", "Pd", "P", "Pd", "P", "P", "K", "P"],
  "fractional_positions": [[0.500, 0.500, 0.000], [0.373, 0.127, 0.500], [0.127, 0.627, 0.500], [0.627, 0.873, 0.500], [0.366, 0.866, 0.000], [0.873, 0.373, 0.500], [0.134, 0.366, 0.000], [0.866, 0.634, 0.000], [0.000, 0.000, 0.000], [0.634, 0.134, 0.000]]
}



{
  "formula": "Sm6IrRu2",
  "functional": "PBE",
  "state": "optimized geometry",
  "final_energy_ev_per_atom": -6.51,
  "polymorph_energy_ev_per_atom": 0.000,
  "density_g_cm3": 9.286,
  "formation_energy_ev_per_atom": -0.323,
  "spacegroup": "No. 71",
  "cell": [[-0.033, -8.257, -1.783], [7.759, 3.195, -0.969], [-2.327, 1.262, 8.022]],
  "species": ["Ru", "Sm", "Ir", "Sm", "Sm", "Ru", "Sm", "Sm", "Sm", "Sm", "Sm", "Ru", "Sm", "Ir", "Sm", "Sm", "Sm", "Ru"],
  "fractional_positions": [[0.500, 0.379, 0.879], [0.813, 0.736, 0.549], [0.000, 0.500, 0.500], [0.312, 0.981, 0.669], [0.688, 0.019, 0.331], [0.330, 0.000, 0.330], [0.570, 0.745, 0.826], [0.813, 0.264, 0.077], [0.430, 0.255, 0.174], [0.187, 0.736, 0.923], [0.081, 0.255, 0.826], [0.670, 0.000, 0.670], [0.688, 0.357, 0.669], [0.000, 0.000, 0.000], [0.187, 0.264, 0.451], [0.919, 0.745, 0.174], [0.312, 0.643, 0.331], [0.500, 0.621, 0.121]]
}



{
  "formula": "NaIrNO2",
  "functional": "PBE",
  "state": "optimized geometry",
  "final_energy_ev_per_atom": -3.75,
  "density_g_cm3": 7.179,
  "spacegroup": "No. 123",
  "cell": [[3.895, 0.000, 0.000], [0.000, 3.895, 0.000], [0.000, 0.000, 3.982]],
  "species": ["Ir", "O", "N", "O", "Na"],
  "fractional_positions": [[0.500, 0.500, 0.500], [0.500, 0.000, 0.000], [0.000, 0.000, 0.500], [0.000, 0.500, 0.000], [0.000, 0.000, 0.000]]
}



{
  "formula": "Te2AuCl",
  "functional": "PBE",
  "state": "optimized geometry",
  "final_energy_ev_per_atom": -2.75,
  "density_g_cm3": 7.781,
  "spacegroup": "No. 123",
  "cell": [[3.748, 0.000, 0.000], [0.000, 3.748, 0.000], [0.000, 0.000, 7.407]],
  "species": ["Te", "Cl", "Te", "Au"],
  "fractional_positions": [[0.000, 0.000, 0.059], [0.500, 0.500, 0.750], [0.000, 0.000, 0.441], [0.500, 0.500, 0.250]]
}



{
  "formula": "Mg2Sc2Zn",
  "functional": "PBE",
  "state": "optimized geometry",
  "final_energy_ev_per_atom": -3.53,
  "polymorph_energy_ev_per_atom": 0.000,
  "density_g_cm3": 3.046,
  "formation_energy_ev_per_atom": -0.100,
  "spacegroup": "No. 65",
  "cell": [[-1.357, -2.298, -1.684], [2.450, -1.919, 0.644], [-3.982, -4.553, 9.422]],
  "species": ["Sc", "Mg", "Sc", "Zn", "Mg"],
  "fractional_positions": [[0.500, 0.417, 0.166], [0.000, 0.812, 0.376], [0.500, 0.583, 0.834], [0.000, 0.000, 0.000], [0.000, 0.188, 0.624]]
}



{
  "formula": "La8Nd6Pb",
  "functional": "PBE",
  "state": "optimized geometry",
  "final_energy_ev_per_atom": -4.75,
  "density_g_cm3": 6.772,
  "formation_energy_ev_per_atom": 0.030,
  "spacegroup": "No. 147",
  "cell": [[6.872, 0.000, 0.000], [0.000, 8.215, -4.743], [0.000, 0.000, 9.486]],
  "species": ["La", "Pb", "Nd", "Nd", "La", "La", "La", "La", "La", "Nd", "Nd", "La", "La", "Nd", "Nd"],
  "fractional_positions": [[0.828, 0.044, 0.275], [0.500, 0.000, 0.000], [0.656, 0.907, 0.560], [0.656, 0.654, 0.093], [0.172, 0.770, 0.044], [0.828, 0.230, 0.956], [0.119, 0.667, 0.333], [0.172, 0.956, 0.725], [0.881, 0.333, 0.667], [0.344, 0.560, 0.654], [0.344, 0.346, 0.907], [0.172, 0.275, 0.230], [0.828, 0.725, 0.770], [0.344, 0.093, 0.440], [0.656, 0.440, 0.346]]
}